1.
NaPtI | PBE | relaxed

## Properties
Distance to the lowest polymorph of the same formula   0.011 eV per atom
Density   6.59 Mg/m³
Formation energy from raw total energies   -460 meV/atom
Crystal system   monoclinic
Symmetry   No. 8

Cell and atoms, written as CIF:
```
data_NaPtI
_chemical_formula_sum 'Na2 Pt2 I2'
_cell_length_a 10.653
_cell_length_b 5.709
_cell_length_c 5.709
_cell_angle_alpha 139.90
_cell_angle_beta 126.19
_cell_angle_gamma 53.81
_space_group_name_H-M_alt 'P 1'
_space_group_IT_number 1
_space_group_name_Hall 'P 1'
loop_
_atom_site_label
_atom_site_fract_x
_atom_site_fract_y
_atom_site_fract_z
I1 0.568 0.786 0.214
I2 0.194 0.733 0.267
Na1 0.127 0.054 0.946
Na2 0.808 0.854 0.146
Pt1 0.989 0.449 0.551
Pt2 0.790 0.134 0.866
```



2.
Rb2NaPtI6 | PBE | relaxed

## Properties
Distance to the lowest polymorph of the same formula   0.016 eV per atom
Density   4.65 Mg/m³
Formation energy from raw total energies   -822 meV/atom
Crystal system   tetragonal
Symmetry   No. 139

Cell and atoms, written as CIF:
```
data_Rb2NaPtI6
_chemical_formula_sum 'Rb2 Na1 Pt1 I6'
_cell_length_a 8.349
_cell_length_b 8.349
_cell_length_c 8.342
_cell_angle_alpha 59.97
_cell_angle_beta 59.97
_cell_angle_gamma 90.00
_space_group_name_H-M_alt 'P 1'
_space_group_IT_number 1
_space_group_name_Hall 'P 1'
loop_
_atom_site_label
_atom_site_fract_x
_atom_site_fract_y
_atom_site_fract_z
I1 0.766 0.234 0.000
I2 0.766 0.766 0.468
I3 0.766 0.766 0.000
I4 0.234 0.234 0.000
I5 0.234 0.234 0.532
I6 0.234 0.766 0.000
Pt1 0.000 0.000 0.000
Rb1 0.750 0.250 0.500
Rb2 0.250 0.750 0.500
Na1 0.500 0.500 0.000
```



3.
Rb2NaPtI6 | PBE | relaxed

## Properties
Distance to the lowest polymorph of the same formula   0.000 eV per atom
Density   4.52 Mg/m³
Formation energy from raw total energies   -838 meV/atom
Crystal system   trigonal
Symmetry   No. 166

Cell and atoms, written as CIF:
```
data_Rb2NaPtI6
_chemical_formula_sum 'Rb4 Na2 Pt2 I12'
_cell_length_a 8.076
_cell_length_b 8.076
_cell_length_c 15.667
_cell_angle_alpha 75.06
_cell_angle_beta 75.06
_cell_angle_gamma 60.00
_space_group_name_H-M_alt 'P 1'
_space_group_IT_number 1
_space_group_name_Hall 'P 1'
loop_
_atom_site_label
_atom_site_fract_x
_atom_site_fract_y
_atom_site_fract_z
I1 0.713 0.197 0.892
I2 0.803 0.803 0.108
I3 0.197 0.713 0.892
I4 0.864 0.371 0.395
I5 0.371 0.864 0.395
I6 0.287 0.803 0.108
I7 0.629 0.136 0.605
I8 0.629 0.629 0.605
I9 0.136 0.629 0.605
I10 0.803 0.287 0.108
I11 0.197 0.197 0.892
I12 0.371 0.371 0.395
Rb1 0.871 0.871 0.388
Rb2 0.696 0.696 0.912
Rb3 0.129 0.129 0.612
Rb4 0.304 0.304 0.088
Pt1 0.500 0.500 0.500
Pt2 0.000 0.000 0.000
Na1 0.582 0.582 0.253
Na2 0.418 0.418 0.747
```



4.
NaSb2PtI | PBE | relaxed

## Properties
Distance to the lowest polymorph of the same formula   1.062 eV per atom
Density   6.35 Mg/m³
Formation energy from raw total energies   1105 meV/atom
Crystal system   tetragonal
Symmetry   No. 123

Cell and atoms, written as CIF:
```
data_NaSb2PtI
_chemical_formula_sum 'Na1 Sb2 Pt1 I1'
_cell_length_a 5.377
_cell_length_b 5.377
_cell_length_c 5.323
_cell_angle_alpha 90.00
_cell_angle_beta 90.00
_cell_angle_gamma 90.00
_space_group_name_H-M_alt 'P 1'
_space_group_IT_number 1
_space_group_name_Hall 'P 1'
loop_
_atom_site_label
_atom_site_fract_x
_atom_site_fract_y
_atom_site_fract_z
Na1 0.000 0.000 0.000
Sb1 0.000 0.500 0.000
Sb2 0.500 0.000 0.000
I1 0.000 0.000 0.500
Pt1 0.500 0.500 0.500
```



5.
NaSbPtI2 | PBE | relaxed

## Properties
Distance to the lowest polymorph of the same formula   0.000 eV per atom
Density   5.63 Mg/m³
Formation energy from raw total energies   -151 meV/atom
Crystal system   tetragonal
Symmetry   No. 123

Cell and atoms, written as CIF:
```
data_NaSbPtI2
_chemical_formula_sum 'Na1 Sb1 Pt1 I2'
_cell_length_a 5.866
_cell_length_b 5.866
_cell_length_c 5.085
_cell_angle_alpha 90.00
_cell_angle_beta 90.00
_cell_angle_gamma 90.00
_space_group_name_H-M_alt 'P 1'
_space_group_IT_number 1
_space_group_name_Hall 'P 1'
loop_
_atom_site_label
_atom_site_fract_x
_atom_site_fract_y
_atom_site_fract_z
I1 0.000 0.500 0.000
I2 0.500 0.000 0.000
Na1 0.500 0.500 0.500
Sb1 0.000 0.000 0.500
Pt1 0.000 0.000 0.000
```



6.
NaSb2PtI | PBE | relaxed

## Properties
Distance to the lowest polymorph of the same formula   0.000 eV per atom
Density   5.84 Mg/m³
Formation energy from raw total energies   43 meV/atom
Crystal system   tetragonal
Symmetry   No. 123

Cell and atoms, written as CIF:
```
data_NaSb2PtI
_chemical_formula_sum 'Na1 Sb2 Pt1 I1'
_cell_length_a 5.244
_cell_length_b 5.244
_cell_length_c 6.083
_cell_angle_alpha 90.00
_cell_angle_beta 90.00
_cell_angle_gamma 90.00
_space_group_name_H-M_alt 'P 1'
_space_group_IT_number 1
_space_group_name_Hall 'P 1'
loop_
_atom_site_label
_atom_site_fract_x
_atom_site_fract_y
_atom_site_fract_z
Sb1 0.500 0.000 0.000
Sb2 0.000 0.500 0.000
I1 0.000 0.000 0.500
Na1 0.500 0.500 0.500
Pt1 0.000 0.000 0.000
```



7.
NaSbPtI2 | PBE | relaxed

## Properties
Distance to the lowest polymorph of the same formula   1.108 eV per atom
Density   5.71 Mg/m³
Formation energy from raw total energies   957 meV/atom
Crystal system   tetragonal
Symmetry   No. 123

Cell and atoms, written as CIF:
```
data_NaSbPtI2
_chemical_formula_sum 'Na1 Sb1 Pt1 I2'
_cell_length_a 5.485
_cell_length_b 5.485
_cell_length_c 5.736
_cell_angle_alpha 90.00
_cell_angle_beta 90.00
_cell_angle_gamma 90.00
_space_group_name_H-M_alt 'P 1'
_space_group_IT_number 1
_space_group_name_Hall 'P 1'
loop_
_atom_site_label
_atom_site_fract_x
_atom_site_fract_y
_atom_site_fract_z
Pt1 0.500 0.500 0.500
Sb1 0.000 0.000 0.500
I1 0.000 0.500 0.000
I2 0.500 0.000 0.000
Na1 0.000 0.000 0.000
```



8.
NaTaPt2I | PBE | relaxed

## Properties
Density   10.62 Mg/m³
Formation energy from raw total energies   1778 meV/atom
Crystal system   tetragonal
Symmetry   No. 123

Cell and atoms, written as CIF:
```
data_NaTaPt2I
_chemical_formula_sum 'Na1 Ta1 Pt2 I1'
_cell_length_a 4.703
_cell_length_b 5.098
_cell_length_c 4.703
_cell_angle_alpha 90.00
_cell_angle_beta 90.00
_cell_angle_gamma 90.00
_space_group_name_H-M_alt 'P 1'
_space_group_IT_number 1
_space_group_name_Hall 'P 1'
loop_
_atom_site_label
_atom_site_fract_x
_atom_site_fract_y
_atom_site_fract_z
Pt1 0.500 0.000 0.000
Pt2 0.000 0.000 0.500
Na1 0.000 0.000 0.000
Ta1 0.000 0.500 0.000
I1 0.500 0.500 0.500
```



9.
NaTePtI2 | PBE | relaxed

## Properties
Distance to the lowest polymorph of the same formula   1.119 eV per atom
Density   5.65 Mg/m³
Formation energy from raw total energies   888 meV/atom
Crystal system   tetragonal
Symmetry   No. 123

Cell and atoms, written as CIF:
```
data_NaTePtI2
_chemical_formula_sum 'Na1 Te1 Pt1 I2'
_cell_length_a 5.568
_cell_length_b 5.568
_cell_length_c 5.685
_cell_angle_alpha 90.00
_cell_angle_beta 90.00
_cell_angle_gamma 90.00
_space_group_name_H-M_alt 'P 1'
_space_group_IT_number 1
_space_group_name_Hall 'P 1'
loop_
_atom_site_label
_atom_site_fract_x
_atom_site_fract_y
_atom_site_fract_z
Te1 0.000 0.000 0.500
Na1 0.000 0.000 0.000
I1 0.000 0.500 0.000
I2 0.500 0.000 0.000
Pt1 0.500 0.500 0.500
```



10.
NaTe2PtI | PBE | relaxed

## Properties
Distance to the lowest polymorph of the same formula   0.000 eV per atom
Density   6.00 Mg/m³
Formation energy from raw total energies   -108 meV/atom
Crystal system   tetragonal
Symmetry   No. 123

Cell and atoms, written as CIF:
```
data_NaTe2PtI
_chemical_formula_sum 'Na1 Te2 Pt1 I1'
_cell_length_a 5.363
_cell_length_b 5.363
_cell_length_c 5.775
_cell_angle_alpha 90.00
_cell_angle_beta 90.00
_cell_angle_gamma 90.00
_space_group_name_H-M_alt 'P 1'
_space_group_IT_number 1
_space_group_name_Hall 'P 1'
loop_
_atom_site_label
_atom_site_fract_x
_atom_site_fract_y
_atom_site_fract_z
Te1 0.500 0.000 0.000
Te2 0.000 0.500 0.000
I1 0.000 0.000 0.500
Pt1 0.000 0.000 0.000
Na1 0.500 0.500 0.500
```



11.
NaTe2PtI | PBE | relaxed

## Properties
Distance to the lowest polymorph of the same formula   1.125 eV per atom
Density   6.16 Mg/m³
Formation energy from raw total energies   1018 meV/atom
Crystal system   tetragonal
Symmetry   No. 123

Cell and atoms, written as CIF:
```
data_NaTe2PtI
_chemical_formula_sum 'Na1 Te2 Pt1 I1'
_cell_length_a 5.450
_cell_length_b 5.450
_cell_length_c 5.449
_cell_angle_alpha 90.00
_cell_angle_beta 90.00
_cell_angle_gamma 90.00
_space_group_name_H-M_alt 'P 1'
_space_group_IT_number 1
_space_group_name_Hall 'P 1'
loop_
_atom_site_label
_atom_site_fract_x
_atom_site_fract_y
_atom_site_fract_z
Pt1 0.500 0.500 0.500
Te1 0.500 0.000 0.000
Te2 0.000 0.500 0.000
Na1 0.000 0.000 0.000
I1 0.000 0.000 0.500
```



12.
NaTePtI2 | PBE | relaxed

## Properties
Distance to the lowest polymorph of the same formula   0.000 eV per atom
Density   5.77 Mg/m³
Formation energy from raw total energies   -231 meV/atom
Crystal system   tetragonal
Symmetry   No. 123

Cell and atoms, written as CIF:
```
data_NaTePtI2
_chemical_formula_sum 'Na1 Te1 Pt1 I2'
_cell_length_a 5.738
_cell_length_b 5.738
_cell_length_c 5.240
_cell_angle_alpha 90.00
_cell_angle_beta 90.00
_cell_angle_gamma 90.00
_space_group_name_H-M_alt 'P 1'
_space_group_IT_number 1
_space_group_name_Hall 'P 1'
loop_
_atom_site_label
_atom_site_fract_x
_atom_site_fract_y
_atom_site_fract_z
I1 0.500 0.000 0.000
I2 0.000 0.500 0.000
Na1 0.500 0.500 0.500
Te1 0.000 0.000 0.500
Pt1 0.000 0.000 0.000
```



Question: Which of these has the highest formation energy from raw total energies?
Answer: NaTaPt2I



Repeat the tenth record exactly.
NaTe2PtI | PBE | relaxed

## Properties
Distance to the lowest polymorph of the same formula   0.000 eV per atom
Density   6.00 Mg/m³
Formation energy from raw total energies   -108 meV/atom
Crystal system   tetragonal
Symmetry   No. 123

Cell and atoms, written as CIF:
```
data_NaTe2PtI
_chemical_formula_sum 'Na1 Te2 Pt1 I1'
_cell_length_a 5.363
_cell_length_b 5.363
_cell_length_c 5.775
_cell_angle_alpha 90.00
_cell_angle_beta 90.00
_cell_angle_gamma 90.00
_space_group_name_H-M_alt 'P 1'
_space_group_IT_number 1
_space_group_name_Hall 'P 1'
loop_
_atom_site_label
_atom_site_fract_x
_atom_site_fract_y
_atom_site_fract_z
Te1 0.500 0.000 0.000
Te2 0.000 0.500 0.000
I1 0.000 0.000 0.500
Pt1 0.000 0.000 0.000
Na1 0.500 0.500 0.500
```